[1]
This record from the Open Quantum Materials Database describes a geometry-optimized GdAl2Ag2 structure. The functional is GGA-PBE.

Symmetry = I4/mmm, No. 139
ρ = 7.0 Mg/m³
Uncorrected energy = -19.292 eV/cell

Cell and atoms, written as POSCAR:
```
GdAl2Ag2
1.0
-2.1011 2.1011 5.7424
2.1011 -2.1011 5.7424
2.1011 2.1011 -5.7424
Gd Al Ag
1 2 2
direct
0.0000 0.0000 0.0000
0.2500 0.7500 0.5000
0.7500 0.2500 0.5000
0.3837 0.3837 0.0000
0.6163 0.6163 0.0000
```

=====

[2]
This record from the Open Quantum Materials Database describes a geometry-optimized Ho2B2O5 structure. The functional is GGA-PBE.

Offset from the most stable computed form = 1089 meV per atom
Symmetry = P4/mmm, No. 123
ρ = 6.2 Mg/m³
Uncorrected energy = -55.133 eV/cell

Cell and atoms, written as POSCAR:
```
Ho2B2O5
1.0
3.6216 0.0000 0.0000
0.0000 3.6216 0.0000
0.0000 0.0000 8.7984
Ho B O
2 2 5
direct
0.0000 0.0000 0.2482
0.0000 0.0000 0.7518
0.5000 0.5000 0.0000
0.5000 0.5000 0.5000
0.0000 0.0000 0.0000
0.0000 0.5000 0.3739
0.0000 0.5000 0.6261
0.5000 0.0000 0.3739
0.5000 0.0000 0.6261
```

=====

What did the first record say?
This record from the Open Quantum Materials Database describes a geometry-optimized GdAl2Ag2 structure. The functional is GGA-PBE.

Symmetry = I4/mmm, No. 139
ρ = 7.0 Mg/m³
Uncorrected energy = -19.292 eV/cell

Cell and atoms, written as POSCAR:
```
GdAl2Ag2
1.0
-2.1011 2.1011 5.7424
2.1011 -2.1011 5.7424
2.1011 2.1011 -5.7424
Gd Al Ag
1 2 2
direct
0.0000 0.0000 0.0000
0.2500 0.7500 0.5000
0.7500 0.2500 0.5000
0.3837 0.3837 0.0000
0.6163 0.6163 0.0000
```

=====

Look up the ρ of the first one.
7.0 Mg/m³